Li2YCoAs | SCAN | single point on PBEsol structure

DFT total energy	-12.79	eV per atom
magnetic moment	0.00	μB/cell
space group	P4/mmm
formation energy from the elements	1230	meV per atom

a b c (Å): 4.3224 5.0598 5.0598
angles (deg): 90.00 90.00 90.00
With the nearest neighbours (Å) after each atom.
Atoms (fractional coordinates):
Y (0.0000, 0.0000, 0.0000)  2 Co 2.16
Li (0.0000, 0.0000, 0.5000)  2 Y 2.53
Co (0.5000, 0.0000, 0.0000)  2 Y 2.16
Li (0.0000, 0.5000, 0.0000)  2 Y 2.53
As (0.5000, 0.5000, 0.5000)  8 Li 3.33, 4 Co 3.58